A relaxed ZnPCl2 crystal, computed with PBE.

POSCAR file:
```
ZnPCl2
1.0
1.9368 0.0000 11.3358
-0.9684 1.6773 11.3358
-0.9684 -1.6773 11.3358
P Zn Cl
1 1 2
Direct
0.0000 0.0000 0.0000
0.5000 0.5000 0.5000
0.1235 0.1235 0.1235
0.8765 0.8765 0.8765
```

Calculated values
- distance to the lowest polymorph of the same formula (meV/atom) = 379
- raw formation energy (kJ/mol of atoms) = -8.1
- energy (eV for the cell shown) = -10.712
- crystal system = trigonal
- Fermi-level density of states (states/eV/f.u.) = 1.05